# 1
Material: CdAg2N
Method: DFT, PBE-GGA
State: optimized geometry

```
data_CdAg2N
_symmetry_space_group_name_H-M 'P 1'
_symmetry_Int_Tables_number 1
_symmetry_space_group_name_Hall 'P 1'
_cell_length_a 5.331
_cell_length_b 5.331
_cell_length_c 7.183
_cell_angle_alpha 68.22
_cell_angle_beta 68.22
_cell_angle_gamma 90.00
loop_
_atom_site_label
_atom_site_fract_x
_atom_site_fract_y
_atom_site_fract_z
N1 0.250 0.750 0.500
N2 0.500 0.500 0.000
Ag1 0.460 0.125 0.250
Ag2 0.375 0.540 0.750
Ag3 0.290 0.625 0.250
Ag4 0.875 0.710 0.750
Cd1 0.750 0.250 0.500
Cd2 0.000 0.000 0.000
```

Excess energy over the best structure of this formula in the dataset ... 0 meV/atom
Total moment ... 0.00 μB/f.u.
Raw formation energy ... 0.812 eV per atom
ρ ... 6.54 g cm⁻³
Symmetry ... I-42d, No. 122

=====

# 2
Material: B5C7
Method: DFT, PBE-GGA
State: optimized geometry

```
data_B5C7
_symmetry_space_group_name_H-M 'P 1'
_symmetry_Int_Tables_number 1
_symmetry_space_group_name_Hall 'P 1'
_cell_length_a 6.748
_cell_length_b 7.367
_cell_length_c 7.367
_cell_angle_alpha 160.33
_cell_angle_beta 140.50
_cell_angle_gamma 44.93
loop_
_atom_site_label
_atom_site_fract_x
_atom_site_fract_y
_atom_site_fract_z
C1 0.504 0.841 0.663
C2 0.597 0.625 0.972
C3 0.494 0.508 0.986
C4 0.478 0.156 0.322
C5 0.139 0.800 0.340
C6 0.150 0.451 0.699
C7 0.019 0.333 0.686
B1 0.097 0.116 0.981
B2 0.968 0.677 0.291
B3 0.643 0.970 0.673
B4 0.629 0.286 0.343
B5 0.033 0.988 0.045
```

Excess energy over the best structure of this formula in the dataset ... 124 meV/atom
Total moment ... 0.00 μB/f.u.
ρ ... 2.94 g cm⁻³
Symmetry ... Cm, No. 8